16
Lattice="7.919 0.000 4.536 2.660 7.458 4.536 0.039 0.027 9.113" Properties=species:S:1:pos:R:3 comment="PBE Tb3Th5Bi8, relaxed" m_tot_mub_per_cell=0.00 n_ef_per_ev_fu=10.18 formation_enthalpy_0k_ev_per_atom=-0.68 pbc="T T T"
Tb 3.979 0.014 6.824
Tb 0.019 0.014 4.556
Tb 1.349 3.743 6.824
Th 3.959 0.000 2.268
Th 5.290 3.729 4.536
Th 0.000 0.000 0.000
Th 1.330 3.729 2.268
Th 5.309 3.743 9.092
Bi 2.673 1.885 9.048
Bi 4.019 5.659 11.343
Bi 6.680 1.885 11.343
Bi 7.991 5.634 13.590
Bi 7.944 5.601 9.136
Bi 6.598 1.827 6.841
Bi 3.938 5.601 6.841
Bi 2.626 1.852 4.595

=====

10
Lattice="4.438 0.000 -0.856 -0.330 6.153 -1.708 0.002 -0.008 11.941" Properties=species:S:1:pos:R:3 comment="PBE Tb4ThBi5, relaxed" m_tot_mub_per_cell=0.00 n_ef_per_ev_fu=3.80 formation_enthalpy_0k_ev_per_atom=-0.82 pbc="T T T"
Tb 1.640 2.448 8.501
Tb 3.278 4.902 5.059
Tb 0.833 1.243 4.318
Tb 2.471 3.698 0.876
Th 0.000 0.000 0.000
Bi 2.642 0.631 1.762
Bi 3.455 1.845 5.980
Bi 0.655 4.301 3.398
Bi -0.165 3.077 -0.854
Bi 1.469 5.515 7.615

=====

3
Lattice="-2.017 0.534 2.994 3.845 -2.499 3.035 0.237 5.435 -0.809" Properties=species:S:1:pos:R:3 comment="PBE TbThBi, relaxed" m_tot_mub_per_cell=0.00 relative_energy_mev_per_atom=357 n_ef_per_ev_fu=4.18 formation_enthalpy_0k_ev_per_atom=-0.12 pbc="T T T"
Tb 1.477 0.454 3.485
Bi 0.713 2.982 1.551
Th -0.124 0.033 0.185

=====

12
Lattice="7.815 0.213 0.000 2.405 7.435 0.000 1.202 3.718 6.765" Properties=species:S:1:pos:R:3 comment="PBE Tb5ThBi6, relaxed" m_tot_mub_per_cell=0.00 n_ef_per_ev_fu=3.15 formation_enthalpy_0k_ev_per_atom=-0.84 pbc="T T T"
Tb 5.110 3.824 4.534
Tb 1.202 3.718 2.263
Tb 5.110 3.824 0.000
Tb 2.405 7.435 4.502
Tb 6.312 7.542 2.231
Th 0.000 0.000 0.000
Bi 6.444 2.041 2.279
Bi 3.775 5.608 2.279
Bi 2.569 1.941 0.000
Bi 7.650 5.708 0.000
Bi 7.647 5.759 4.486
Bi 4.978 9.325 4.486

=====

12
Lattice="-1.536 -3.933 6.724 5.086 2.299 5.633 -1.812 6.110 4.724" Properties=species:S:1:pos:R:3 comment="PBE TbTh5Bi6, relaxed" m_tot_mub_per_cell=0.00 n_ef_per_ev_fu=8.72 formation_enthalpy_0k_ev_per_atom=-0.61 pbc="T T T"
Tb 0.000 0.000 0.000
Bi -1.341 -0.777 7.081
Bi 2.033 2.398 6.527
Bi 0.857 -0.422 3.053
Bi 2.693 -1.212 9.304
Bi -0.295 2.078 10.553
Bi 3.079 5.253 9.999
Th -1.102 2.460 7.439
Th 1.103 2.790 3.447
Th 1.775 -0.817 6.179
Th 2.171 5.620 6.909
Th 2.840 2.016 9.642

=====

8
Lattice="4.529 0.000 0.000 0.000 7.824 -0.076 0.000 -2.539 7.401" Properties=species:S:1:pos:R:3 comment="PBE Tb3ThBi4, relaxed" m_tot_mub_per_cell=0.00 n_ef_per_ev_fu=1.76 formation_enthalpy_0k_ev_per_atom=-0.81 pbc="T T T"
Tb 0.000 -1.269 3.701
Tb 2.265 2.643 3.663
Tb 0.000 3.912 -0.038
Th 2.265 0.000 0.000
Bi 0.000 1.350 1.871
Bi 2.265 5.210 1.811
Bi 0.000 3.936 5.455
Bi 2.265 0.076 5.515

=====

4
Lattice="-1.016 -2.856 1.770 -1.841 -2.509 -1.625 9.742 -7.569 -3.139" Properties=species:S:1:pos:R:3 comment="PBE TbTh2Bi, relaxed" m_tot_mub_per_cell=0.00 relative_energy_mev_per_atom=434 n_ef_per_ev_fu=5.58 formation_enthalpy_0k_ev_per_atom=0.13 pbc="T T T"
Tb 3.442 -6.467 -1.497
Bi 0.000 0.000 0.000
Th 6.929 -6.048 -2.301
Th -0.044 -6.886 -0.693

=====

8
Lattice="5.937 0.000 -2.507 -1.059 5.841 -2.507 -0.175 -0.210 7.867" Properties=species:S:1:pos:R:3 comment="PBE TbThBi2, relaxed" m_tot_mub_per_cell=0.00 relative_energy_mev_per_atom=0 n_ef_per_ev_fu=1.73 formation_enthalpy_0k_ev_per_atom=-0.72 pbc="T T T"
Tb 4.100 1.355 1.427
Tb 0.000 0.000 0.000
Th 2.439 2.921 -2.507
Th 0.602 4.276 1.427
Bi 3.583 4.291 0.202
Bi 2.981 0.015 -1.224
Bi 1.119 1.341 2.651
Bi 5.220 2.696 4.077

=====

3
Lattice="-0.869 3.258 2.318 -3.068 0.978 -2.524 -1.543 -5.233 3.165" Properties=species:S:1:pos:R:3 comment="PBE TbThBi, relaxed" m_tot_mub_per_cell=0.00 relative_energy_mev_per_atom=127 n_ef_per_ev_fu=3.03 formation_enthalpy_0k_ev_per_atom=-0.35 pbc="T T T"
Tb -5.238 -0.783 2.747
Bi -2.743 1.431 0.572
Th -1.926 -1.709 1.679

=====

15
Lattice="8.062 0.255 2.796 2.070 7.795 2.796 0.321 0.255 8.527" Properties=species:S:1:pos:R:3 comment="PBE TbTh6Bi8, relaxed" m_tot_mub_per_cell=0.00 n_ef_per_ev_fu=10.66 formation_enthalpy_0k_ev_per_atom=-0.53 pbc="T T T"
Tb 0.000 0.000 0.000
Th 1.789 3.791 7.412
Th 4.559 7.420 8.037
Th 5.276 2.765 10.244
Th 5.176 5.541 3.874
Th 5.894 0.886 6.082
Th 8.664 4.515 6.706
Bi 3.098 5.255 10.015
Bi 2.572 6.476 5.630
Bi 3.374 1.043 8.232
Bi 6.990 5.554 9.441
Bi 3.463 2.752 4.677
Bi 7.079 7.263 5.886
Bi 7.881 1.830 8.489
Bi 7.355 3.051 4.103

=====

12
Lattice="-5.478 -2.305 -2.189 3.854 -6.813 -2.470 -1.455 -3.468 7.296" Properties=species:S:1:pos:R:3 comment="PBE TbThBi, relaxed" m_tot_mub_per_cell=1.14 relative_energy_mev_per_atom=376 n_ef_per_ev_fu=3.26 formation_enthalpy_0k_ev_per_atom=-0.10 pbc="T T T"
Bi 0.828 -6.026 4.275
Bi -2.524 -4.554 1.949
Bi -0.556 -8.032 0.688
Bi 1.571 -4.255 0.551
Th 2.327 -7.134 1.690
Th -1.966 -7.308 3.454
Th -1.114 -5.278 -0.816
Th 0.071 -3.147 3.136
Tb 3.069 -5.426 -1.967
Tb -3.898 -3.914 4.715
Tb -3.036 -1.859 0.392
Tb 0.785 -1.388 -0.503

=====

6
Lattice="4.541 0.000 0.000 0.000 6.425 0.000 -2.270 -3.213 6.765" Properties=species:S:1:pos:R:3 comment="PBE Tb2ThBi3, relaxed" m_tot_mub_per_cell=0.00 n_ef_per_ev_fu=2.27 formation_enthalpy_0k_ev_per_atom=-0.78 pbc="T T T"
Tb 2.270 0.000 2.238
Tb 0.000 3.213 4.528
Th 0.000 3.213 0.000
Bi 0.000 0.000 4.457
Bi 0.000 0.000 0.000
Bi 2.270 3.213 2.308

=====

4
Lattice="4.479 0.000 0.000 2.239 3.879 0.000 2.239 1.293 7.802" Properties=species:S:1:pos:R:3 comment="PBE TbThBi2, relaxed" m_tot_mub_per_cell=0.00 relative_energy_mev_per_atom=90 n_ef_per_ev_fu=3.45 formation_enthalpy_0k_ev_per_atom=-0.63 pbc="T T T"
Tb 4.479 2.586 3.974
Th 6.718 3.879 7.742
Bi 2.239 1.293 5.818
Bi 2.240 1.293 1.971

=====

4
Lattice="5.546 0.000 0.000 2.773 4.803 0.000 2.773 1.601 4.528" Properties=species:S:1:pos:R:3 comment="PBE TbThBi2, relaxed" m_tot_mub_per_cell=0.00 relative_energy_mev_per_atom=166 n_ef_per_ev_fu=4.45 formation_enthalpy_0k_ev_per_atom=-0.56 pbc="T T T"
Tb 0.000 0.000 0.000
Bi 2.773 1.601 1.132
Bi 8.319 4.803 3.396
Th 5.546 3.202 2.264

=====

4
Lattice="-4.880 -1.449 1.529 -1.081 -1.113 -4.504 1.548 -4.446 0.727" Properties=species:S:1:pos:R:3 comment="PBE TbTh2Bi, relaxed" m_tot_mub_per_cell=0.00 relative_energy_mev_per_atom=0 n_ef_per_ev_fu=3.16 formation_enthalpy_0k_ev_per_atom=-0.30 pbc="T T T"
Tb -2.206 -3.504 -1.124
Bi -2.440 -0.725 0.765
Th 0.774 -2.223 0.363
Th -0.540 -0.556 -2.252

=====

4
Lattice="3.632 0.000 0.000 0.000 5.752 0.000 0.000 0.000 5.752" Properties=species:S:1:pos:R:3 comment="PBE TbThBi2, relaxed" m_tot_mub_per_cell=0.01 relative_energy_mev_per_atom=155 n_ef_per_ev_fu=4.31 formation_enthalpy_0k_ev_per_atom=-0.57 pbc="T T T"
Tb 1.816 2.876 2.876
Bi 0.000 0.000 2.876
Bi 0.000 2.876 0.000
Th 1.816 0.000 0.000

=====

4
Lattice="-3.983 -2.180 0.401 -0.087 -4.394 1.209 -1.709 -0.219 7.644" Properties=species:S:1:pos:R:3 comment="PBE TbThBi2, relaxed" m_tot_mub_per_cell=0.00 relative_energy_mev_per_atom=0 n_ef_per_ev_fu=2.20 formation_enthalpy_0k_ev_per_atom=-0.72 pbc="T T T"
Tb 0.000 0.000 0.000
Th -2.889 -3.396 4.627
Bi -4.337 -5.078 7.000
Bi -1.441 -1.714 2.254

=====

15
Lattice="-1.820 -8.780 -1.537 0.710 3.051 8.506 -6.275 6.298 -1.767" Properties=species:S:1:pos:R:3 comment="PBE Tb3Th4Bi8, relaxed" m_tot_mub_per_cell=0.00 n_ef_per_ev_fu=5.53 formation_enthalpy_0k_ev_per_atom=-0.63 pbc="T T T"
Tb -0.555 -2.864 3.484
Tb -4.047 -1.241 -1.652
Tb -3.692 0.285 2.600
Th -0.910 -4.390 -0.769
Th 0.355 1.526 4.253
Th 0.000 0.000 0.000
Th -3.137 3.149 -0.884
Bi -2.372 -2.096 0.950
Bi -1.094 3.890 5.852
Bi -1.466 2.415 1.760
Bi -1.966 -0.517 5.138
Bi -5.418 1.087 0.063
Bi -5.918 -1.846 3.441
Bi -4.471 5.459 0.886
Bi -5.012 2.665 4.250

=====

4
Lattice="5.513 0.000 0.000 2.757 4.775 0.000 2.757 1.592 4.501" Properties=species:S:1:pos:R:3 comment="PBE TbThTlBi, relaxed" m_tot_mub_per_cell=0.00 n_ef_per_ev_fu=6.27 formation_enthalpy_0k_ev_per_atom=-0.30 pbc="T T T"
Tl 0.000 0.000 0.000
Tb 2.757 1.592 1.125
Bi 5.513 3.183 2.251
Th 8.270 4.775 3.376

=====

9
Lattice="5.438 0.000 0.000 0.000 5.438 0.000 0.000 0.000 11.669" Properties=species:S:1:pos:R:3 comment="PBE TbTmTh2Bi5, relaxed" m_tot_mub_per_cell=0.00 n_ef_per_ev_fu=5.81 formation_enthalpy_0k_ev_per_atom=0.08 pbc="T T T"
Tb 0.000 0.000 5.834
Tm 0.000 0.000 0.000
Th 2.719 2.719 3.485
Th 2.719 2.719 8.184
Bi 0.000 2.719 5.834
Bi 2.719 0.000 5.834
Bi 0.000 0.000 8.805
Bi 0.000 0.000 2.864
Bi 2.719 2.719 0.000

=====

12
Lattice="-3.703 -2.873 6.205 2.613 -4.801 -5.532 6.769 1.969 3.319" Properties=species:S:1:pos:R:3 comment="PBE Tb3Tm2ThBi6, relaxed" m_tot_mub_per_cell=0.00 n_ef_per_ev_fu=3.91 formation_enthalpy_0k_ev_per_atom=-0.80 pbc="T T T"
Tb 4.965 -3.501 -1.953
Tb 0.714 -2.204 5.946
Tb 2.839 -2.852 1.996
Tm 0.514 -4.160 -1.632
Tm -1.604 -3.514 2.306
Th 0.000 0.000 0.000
Bi 3.184 -3.924 4.982
Bi 0.862 -5.206 1.319
Bi 2.494 -1.781 -0.990
Bi 5.330 -4.579 0.995
Bi 4.816 -0.499 2.673
Bi 0.349 -1.126 2.997

=====

12
Lattice="7.807 0.002 0.000 -3.900 6.763 0.000 -1.304 -2.258 7.357" Properties=species:S:1:pos:R:3 comment="PBE Tb2Y3ThBi6, relaxed" m_tot_mub_per_cell=0.00 n_ef_per_ev_fu=3.80 formation_enthalpy_0k_ev_per_atom=-0.84 pbc="T T T"
Tb -0.001 4.511 0.000
Tb 3.908 2.253 0.000
Y -2.619 4.518 3.678
Y 5.222 -0.011 3.678
Y 1.301 2.253 3.678
Th 0.000 0.000 0.000
Bi 3.917 2.228 5.490
Bi 2.589 4.483 1.850
Bi -1.314 2.279 1.866
Bi -0.028 4.507 5.490
Bi 0.014 0.024 5.506
Bi 2.631 0.000 1.866

=====

9
Lattice="-4.501 1.025 -2.867 -3.045 -1.517 4.238 -0.001 11.041 3.951" Properties=species:S:1:pos:R:3 comment="PBE TbYTh2Bi5, relaxed" m_tot_mub_per_cell=0.00 n_ef_per_ev_fu=5.52 formation_enthalpy_0k_ev_per_atom=0.05 pbc="T T T"
Tb -0.001 5.521 1.975
Y 0.000 0.000 0.000
Th -3.774 3.046 1.863
Th -3.774 7.504 3.458
Bi -1.523 4.762 4.094
Bi -2.251 6.033 0.542
Bi -0.001 8.317 2.976
Bi 0.000 2.724 0.975
Bi -3.773 -0.246 0.685

=====

12
Lattice="-1.871 3.934 -1.320 -0.225 -2.978 -8.556 -7.799 -4.907 4.277" Properties=species:S:1:pos:R:3 comment="PBE Tb2YTh3Bi6, relaxed" m_tot_mub_per_cell=0.00 n_ef_per_ev_fu=6.59 formation_enthalpy_0k_ev_per_atom=-0.73 pbc="T T T"
Tb -6.909 -1.979 -3.953
Tb -2.985 -1.972 -1.646
Y -0.935 1.967 -0.660
Th -1.048 0.478 -4.938
Th -6.794 -0.489 0.323
Th -3.101 -3.462 -5.923
Bi -6.064 -4.689 -5.379
Bi -4.009 -0.747 -4.391
Bi -3.831 0.737 -0.220
Bi -0.086 -0.740 -2.083
Bi -9.808 -3.211 -3.516
Bi -5.885 -3.204 -1.208